Here is crystalline NbVO2 at its relaxed geometry from Alexandria. Energies are from PBE with a Hubbard U.

a = 6.942 Å, b = 6.942 Å, c = 6.942 Å
α = 24.65°, β = 24.65°, γ = 24.65°
Sites, in units of the cell vectors:
1 Nb 0.000 0.000 0.000
2 V 0.500 0.500 0.500
3 O 0.401 0.401 0.401
4 O 0.599 0.599 0.599

- M_tot: 0.712 μB per atom
- Total energy: -32.74 eV per cell
- Fermi-level density of states: 0.596 states/eV/atom
- SG: R-3m